Below is crystalline La4Pr7Th at its relaxed geometry, with properties calculated at the PBE-GGA level. Values from VASP.

The structure in Quantum ESPRESSO input format:
```
&SYSTEM
  ibrav = 0, nat = 12, ntyp = 3
/
ATOMIC_SPECIES
Th 232.04 Th.upf
Pr 140.91 Pr.upf
La 138.91 La.upf
CELL_PARAMETERS angstrom
6.227 0.000 0.000
3.114 11.689 -0.355
3.114 0.107 6.182
ATOMIC_POSITIONS angstrom
Th 0.000 0.000 0.000
Pr 6.227 5.898 4.546
Pr 3.114 8.031 0.893
Pr 3.114 0.000 0.000
Pr 9.341 10.842 2.771
Pr 6.227 5.897 1.281
Pr 3.114 0.953 3.056
Pr 9.341 3.764 4.934
La 9.341 7.947 4.667
La 6.227 2.655 2.985
La 3.114 3.848 1.160
La 6.227 9.141 2.842
```

The value obtained for the energy above the lowest structure with this stoichiometry is 218.5 meV/atom. As for the final energy: -0.354 Ry per atom. The value obtained for the formation energy is 0.237 eV/atom. As for the space-group type: No. 12.